No. 1
## Er2PbS4 (GGA-PBEsol)

Data for a relaxed structure of Er2PbS4.

Lattice parameters (Å, degrees): 7.787 28.161 11.888 90.00 90.00 90.00
Space group Cmc2_1 (No. 36)
Inequivalent atoms, fractional coordinates:
Er1 0.000 0.068 0.000 (multiplicity 4)
Er2 0.000 0.175 0.523 (multiplicity 4)
Er3 0.000 0.325 0.024 (multiplicity 4)
Er4 0.000 0.431 0.506 (multiplicity 4)
Er5 0.250 0.078 0.355 (multiplicity 8)
Er6 0.250 0.180 0.875 (multiplicity 8)
Pb1 0.000 0.046 0.658 (multiplicity 4)
Pb2 0.000 0.461 0.201 (multiplicity 4)
Pb3 0.250 0.209 0.187 (multiplicity 8)
S1 0.000 0.020 0.421 (multiplicity 4)
S2 0.000 0.141 0.312 (multiplicity 4)
S3 0.000 0.162 0.027 (multiplicity 4)
S4 0.000 0.210 0.735 (multiplicity 4)
S5 0.000 0.289 0.235 (multiplicity 4)
S6 0.000 0.337 0.528 (multiplicity 4)
S7 0.000 0.359 0.813 (multiplicity 4)
S8 0.000 0.483 0.906 (multiplicity 4)
S9 0.248 0.040 0.146 (multiplicity 8)
S10 0.249 0.265 0.975 (multiplicity 8)
S11 0.249 0.414 0.353 (multiplicity 8)
S12 0.250 0.111 0.568 (multiplicity 8)

## Properties
Formation energy from raw total energies = -11.64 eV per formula unit

***

No. 2
## Tl2ZnTe (GGA-PBEsol)

Data for a relaxed structure of Tl2ZnTe.

Lattice parameters (Å, degrees): 8.134 4.798 6.406 90.00 116.11 90.00
Space group C2/m (No. 12)
Inequivalent atoms, fractional coordinates:
Tl1 0.236 0.000 0.211 (multiplicity 4)
Zn1 0.000 0.500 0.000 (multiplicity 2)
Te1 0.000 0.000 0.500 (multiplicity 2)

## Properties
Formation energy from raw total energies = 0.03 eV per formula unit
Offset from the most stable computed form = 52.1 meV/atom

***

No. 3
## CaMgRh4 (GGA-PBEsol)

Data for a relaxed structure of CaMgRh4.

Lattice parameters (Å, degrees): 7.336 7.336 7.336 90.00 90.00 90.00
Space group F-43m (No. 216)
Inequivalent atoms, fractional coordinates:
Ca1 0.000 0.000 0.000 (multiplicity 4)
Mg1 0.250 0.250 0.250 (multiplicity 4)
Rh1 0.125 0.125 0.625 (multiplicity 16)

## Properties
ΔE_f = -277 meV per atom

***

No. 4
## K2Cr2CuP2O14 (GGA-PBEsol)

Data for a relaxed structure of K2Cr2CuP2O14.

Lattice parameters (Å, degrees): 9.440 6.971 8.745 90.00 91.47 90.00
Space group P2_1/c (No. 14)
Inequivalent atoms, fractional coordinates:
K1 0.201 0.143 0.161 (multiplicity 4)
Cr1 0.150 0.634 0.103 (multiplicity 4)
Cu1 0.500 0.000 0.500 (multiplicity 2)
P1 0.396 0.633 0.311 (multiplicity 4)
O1 0.041 0.515 0.203 (multiplicity 4)
O2 0.070 0.706 0.503 (multiplicity 4)
O3 0.240 0.016 0.500 (multiplicity 4)
O4 0.282 0.741 0.723 (multiplicity 4)
O5 0.326 0.046 0.873 (multiplicity 4)
O6 0.467 0.749 0.443 (multiplicity 4)
O7 0.481 0.082 0.298 (multiplicity 4)

## Properties
Formation energy from raw total energies = -35.50 eV per formula unit

***

No. 5
## NaCo2P (GGA-PBEsol)

Data for a relaxed structure of NaCo2P.

Lattice parameters (Å, degrees): 6.607 6.607 5.322 90.00 90.00 90.00
Space group I-42d (No. 122)
Inequivalent atoms, fractional coordinates:
Na1 0.000 0.000 0.000 (multiplicity 4)
Co1 0.163 0.250 0.625 (multiplicity 8)
P1 0.000 0.000 0.500 (multiplicity 4)

## Properties
ΔE_f = 281 meV per atom

***

No. 6
## Y4Hg5 (GGA-PBEsol)

Data for a relaxed structure of Y4Hg5.

Lattice parameters (Å, degrees): 8.9409 8.9409 6.3613 90.00 90.00 120.00
Space group P6_3/mcm (No. 193)
Inequivalent atoms, fractional coordinates:
Y1 0.0000 0.0000 0.0000 (multiplicity 2)
Y2 0.0000 0.3689 0.2500 (multiplicity 6)
Hg1 0.0000 0.2995 0.7500 (multiplicity 6)
Hg2 0.3333 0.6667 0.0000 (multiplicity 4)

## Properties
ΔE_f = -519 meV per atom

***

One value per record, in order, for ρ: 6.83; 8.90; 8.01; 3.07; 4.91; 10.25 g/cm3.